Compound: CsSrTiSi2
Source: the Alexandria database
Functional: PBE
Structure: relaxed Values from VASP.

Calculated volume (Å³/atom): 36.9
Total magnetic moment (μB/cell): 0.4
Symmetry: P4/mmm (123)
Raw total energy (eV per formula unit): -11.10
Formation energy without anion corrections (eV/atom): 2.036

Quantum ESPRESSO input file:
```
&SYSTEM
  ibrav = 0, nat = 5, ntyp = 4
/
ATOMIC_SPECIES
Si 28.09 Si.upf
Sr 87.62 Sr.upf
Ti 47.87 Ti.upf
Cs 132.91 Cs.upf
ATOMIC_POSITIONS angstrom
Si -1.384 1.099 2.183
Si 2.051 -0.843 1.725
Sr 1.385 2.546 -0.403
Ti 2.052 2.802 3.505
Cs 0.000 0.000 0.000
CELL_PARAMETERS angstrom
-2.768 2.198 4.367
4.102 -1.686 3.449
2.771 5.091 -0.806
```



Compound: Na3Np3TiN8
Source: the Alexandria database
Functional: PBE
Structure: relaxed Values from VASP.

Calculated volume (Å³/atom): 14.7
Total magnetic moment (μB/cell): 4.0
Symmetry: R-3m (166)
Raw total energy (eV per formula unit): -129.63
Formation energy without anion corrections (eV/atom): -0.824

Quantum ESPRESSO input file:
```
&SYSTEM
  ibrav = 0, nat = 15, ntyp = 4
/
ATOMIC_SPECIES
Na 22.99 Na.upf
N 14.01 N.upf
Ti 47.87 Ti.upf
Np 237.00 Np.upf
ATOMIC_POSITIONS angstrom
Na 0.000 0.000 0.000
Na -1.675 2.901 -0.010
Na 1.675 2.901 -0.010
N 0.000 1.939 1.756
N 3.349 0.015 3.927
N 0.000 -0.020 3.828
N -1.703 2.932 3.818
N 1.703 2.931 3.818
N 3.349 1.974 1.854
N 1.646 -0.978 1.864
N 5.052 -0.978 1.864
Ti 0.000 -1.925 2.851
Np 3.349 -1.925 2.851
Np 1.675 0.977 2.841
Np -1.675 0.977 2.841
CELL_PARAMETERS angstrom
6.699 0.000 0.000
-3.349 5.803 -0.020
0.000 -3.849 5.702
```



Compound: HfP2W
Source: the Alexandria database
Functional: PBE
Structure: relaxed Values from VASP.

Calculated volume (Å³/atom): 21.9
Total magnetic moment (μB/cell): 0.0
Symmetry: I-42d (122)
Raw total energy (eV per formula unit): -33.71
E_form (eV per atom): 0.004
Energy above the lowest structure with this stoichiometry (eV per atom): 0.516

Quantum ESPRESSO input file:
```
&SYSTEM
  ibrav = 0, nat = 8, ntyp = 3
/
ATOMIC_SPECIES
P 30.97 P.upf
W 183.84 W.upf
Hf 178.49 Hf.upf
ATOMIC_POSITIONS angstrom
P 4.221 1.349 1.501
P 6.744 6.918 4.504
P 1.174 4.046 1.501
P 4.046 3.872 4.504
W 5.395 2.698 3.003
W 0.000 0.000 0.000
Hf 2.698 5.395 3.003
Hf 2.698 2.698 0.000
CELL_PARAMETERS angstrom
5.395 0.000 0.000
0.000 5.395 0.000
2.698 2.698 6.006
```



Compound: Hf7SnTe2
Source: the Alexandria database
Functional: PBE
Structure: relaxed Values from VASP.

Calculated volume (Å³/atom): 27.8
Total magnetic moment (μB/cell): 0.2
Symmetry: Cmmm (65)
Raw total energy (eV per formula unit): -76.14
Formation energy without anion corrections (eV/atom): 0.382

Quantum ESPRESSO input file:
```
&SYSTEM
  ibrav = 0, nat = 10, ntyp = 3
/
ATOMIC_SPECIES
Hf 178.49 Hf.upf
Sn 118.71 Sn.upf
Te 127.60 Te.upf
ATOMIC_POSITIONS angstrom
Hf -2.825 0.395 1.490
Hf 2.600 -1.856 4.892
Hf -1.815 0.066 4.346
Hf -2.347 4.602 2.729
Hf -2.663 2.161 6.391
Hf -0.968 -2.030 2.302
Hf -0.806 -0.264 7.203
Sn 0.000 0.000 0.000
Te -0.167 -2.087 5.067
Te -3.464 2.218 3.625
CELL_PARAMETERS angstrom
-3.883 -2.615 1.071
4.322 -4.105 5.646
-4.070 6.851 1.976
```



Compound: Nd2TlRuO5
Source: the Alexandria database
Functional: PBE
Structure: relaxed Values from VASP.

Calculated volume (Å³/atom): 15.6
Total magnetic moment (μB/cell): 6.0
Symmetry: P4/mbm (127)
Raw total energy (eV per formula unit): -64.76
Formation energy without anion corrections (eV/atom): -2.088

Quantum ESPRESSO input file:
```
&SYSTEM
  ibrav = 0, nat = 18, ntyp = 4
/
ATOMIC_SPECIES
Nd 144.24 Nd.upf
O 16.00 O.upf
Tl 204.38 Tl.upf
Ru 101.07 Ru.upf
ATOMIC_POSITIONS angstrom
Nd 4.291 4.793 2.140
Nd 4.567 -0.147 3.359
Nd 1.890 2.150 2.624
Nd 6.968 2.496 2.874
O 2.596 0.101 1.680
O 6.424 0.137 1.923
O 6.239 0.817 4.723
O 6.263 4.545 3.818
O 6.447 3.864 1.019
O 2.619 3.829 0.776
O -0.187 0.691 2.842
O 2.411 0.782 4.480
O 2.434 4.510 3.575
O 4.429 2.323 2.749
Tl 4.616 1.632 -0.093
Tl 0.000 0.000 0.000
Ru 3.111 -1.419 0.550
Ru 1.506 3.051 -0.642
CELL_PARAMETERS angstrom
-0.374 1.381 5.684
6.221 -2.838 1.099
3.011 6.103 -1.285
```



Compound: Er3Tm3TlRu2
Source: the Alexandria database
Functional: PBE
Structure: relaxed Values from VASP.

Calculated volume (Å³/atom): 24.3
Total magnetic moment (μB/cell): 0.0
Symmetry: P-62m (189)
Raw total energy (eV per formula unit): -49.27
E_form (eV per atom): -0.139

Quantum ESPRESSO input file:
```
&SYSTEM
  ibrav = 0, nat = 9, ntyp = 4
/
ATOMIC_SPECIES
Tm 168.93 Tm.upf
Er 167.26 Er.upf
Ru 101.07 Ru.upf
Tl 204.38 Tl.upf
ATOMIC_POSITIONS angstrom
Tm 0.000 3.192 0.000
Tm 0.000 2.560 4.434
Tm 0.000 -1.596 2.765
Er 1.830 1.265 2.192
Er 1.830 5.782 0.000
Er 1.830 -2.891 5.007
Ru 1.830 4.156 2.400
Ru 1.830 0.000 4.799
Tl 0.000 0.000 0.000
CELL_PARAMETERS angstrom
3.661 0.000 0.000
0.000 8.312 0.000
0.000 -4.156 7.199
```



Compound: ScTiPbAu
Source: the Alexandria database
Functional: PBE
Structure: relaxed Values from VASP.

Calculated volume (Å³/atom): 20.7
Total magnetic moment (μB/cell): 2.0
Symmetry: F-43m (216)
Raw total energy (eV per formula unit): -22.41
E_form (eV per atom): -0.300

Quantum ESPRESSO input file:
```
&SYSTEM
  ibrav = 0, nat = 4, ntyp = 4
/
ATOMIC_SPECIES
Au 196.97 Au.upf
Sc 44.96 Sc.upf
Pb 207.20 Pb.upf
Ti 47.87 Ti.upf
ATOMIC_POSITIONS angstrom
Au 2.445 1.412 0.998
Sc 0.000 0.000 0.000
Pb 7.335 4.235 2.994
Ti 4.890 2.823 1.996
CELL_PARAMETERS angstrom
4.890 0.000 0.000
2.445 4.235 0.000
2.445 1.412 3.993
```



Compound: CePmP2Pd2
Source: the Alexandria database
Functional: PBE
Structure: relaxed Values from VASP.

Calculated volume (Å³/atom): 20.1
Total magnetic moment (μB/cell): 1.1
Symmetry: P-3m1 (164)
Raw total energy (eV per formula unit): -39.21
E_form (eV per atom): -1.219

Quantum ESPRESSO input file:
```
&SYSTEM
  ibrav = 0, nat = 6, ntyp = 4
/
ATOMIC_SPECIES
P 30.97 P.upf
Pm 145.00 Pm.upf
Pd 106.42 Pd.upf
Ce 140.12 Ce.upf
ATOMIC_POSITIONS angstrom
P -0.542 -2.908 -1.020
P 2.362 -5.799 1.053
Pm 2.493 -3.005 -0.321
Pd -0.142 -2.779 1.375
Pd 1.962 -5.928 -1.343
Ce 0.000 0.000 0.000
CELL_PARAMETERS angstrom
-0.943 -1.201 3.925
-2.221 -1.495 -3.251
4.985 -6.010 -0.641
```



Compound: GdHo2Pb
Source: the Alexandria database
Functional: PBE
Structure: relaxed Values from VASP.

Calculated volume (Å³/atom): 29.6
Total magnetic moment (μB/cell): 7.8
Symmetry: P4/mmm (123)
Raw total energy (eV per formula unit): -27.72
E_form (eV per atom): -0.193
Energy above the lowest structure with this stoichiometry (eV per atom): 0.098

Quantum ESPRESSO input file:
```
&SYSTEM
  ibrav = 0, nat = 4, ntyp = 3
/
ATOMIC_SPECIES
Ho 164.93 Ho.upf
Gd 157.25 Gd.upf
Pb 207.20 Pb.upf
ATOMIC_POSITIONS angstrom
Ho 0.670 -4.708 2.079
Ho 0.206 -1.447 0.639
Gd -1.888 -2.629 3.123
Pb -2.326 0.448 1.764
CELL_PARAMETERS angstrom
-0.546 1.607 3.816
-4.105 -0.711 -0.288
0.875 -6.155 2.718
```



Compound: Er2Zn2Cd
Source: the Alexandria database
Functional: PBE
Structure: relaxed Values from VASP.

Calculated volume (Å³/atom): 22.2
Total magnetic moment (μB/cell): 0.0
Symmetry: Cmmm (65)
Raw total energy (eV per formula unit): -14.26
E_form (eV per atom): -0.335

Quantum ESPRESSO input file:
```
&SYSTEM
  ibrav = 0, nat = 5, ntyp = 3
/
ATOMIC_SPECIES
Er 167.26 Er.upf
Cd 112.41 Cd.upf
Zn 65.41 Zn.upf
ATOMIC_POSITIONS angstrom
Er -1.381 -1.870 -2.403
Er -4.060 -3.800 0.082
Cd 0.000 0.000 0.000
Zn -1.460 -2.368 0.588
Zn -1.269 -4.474 -0.896
CELL_PARAMETERS angstrom
-2.711 1.172 -2.013
1.768 -1.964 -3.525
-4.497 -4.878 3.217
```



Compound: NaTl3Au
Source: the Alexandria database
Functional: PBE
Structure: relaxed Values from VASP.

Calculated volume (Å³/atom): 34.9
Total magnetic moment (μB/cell): 0.0
Symmetry: Pm-3m (221)
Raw total energy (eV per formula unit): -9.18
E_form (eV per atom): 0.502
Energy above the lowest structure with this stoichiometry (eV per atom): 0.603

Quantum ESPRESSO input file:
```
&SYSTEM
  ibrav = 0, nat = 5, ntyp = 3
/
ATOMIC_SPECIES
Na 22.99 Na.upf
Tl 204.38 Tl.upf
Au 196.97 Au.upf
ATOMIC_POSITIONS angstrom
Na 0.000 0.000 0.000
Tl 2.795 0.000 0.000
Tl 0.000 2.795 0.000
Tl 0.000 0.000 2.795
Au 2.795 2.795 2.795
CELL_PARAMETERS angstrom
5.591 0.000 0.000
0.000 5.591 0.000
0.000 0.000 5.591
```



Compound: Er5HgPt4
Source: the Alexandria database
Functional: PBE
Structure: relaxed Values from VASP.

Calculated volume (Å³/atom): 21.7
Total magnetic moment (μB/cell): 0.0
Symmetry: P4/mmm (123)
Raw total energy (eV per formula unit): -58.37
E_form (eV per atom): -1.109

Quantum ESPRESSO input file:
```
&SYSTEM
  ibrav = 0, nat = 10, ntyp = 3
/
ATOMIC_SPECIES
Er 167.26 Er.upf
Pt 195.08 Pt.upf
Hg 200.59 Hg.upf
ATOMIC_POSITIONS angstrom
Er 1.741 1.741 2.093
Er 1.741 1.741 5.509
Er 1.741 1.741 12.376
Er 1.741 1.741 15.792
Er 1.741 1.741 8.942
Pt 0.000 0.000 7.205
Pt 0.000 0.000 10.680
Pt 0.000 0.000 3.707
Pt 0.000 0.000 14.177
Hg 0.000 0.000 0.000
CELL_PARAMETERS angstrom
3.482 0.000 0.000
0.000 3.482 0.000
0.000 0.000 17.885
```